(1)
SrOsO3 GGA-PBE optimized geometry; space group = R-3 (148); final energy = -7.13 eV/atom
1.0
-2.8075 4.8627 0.0000
2.8075 4.8627 0.0000
0.0000 3.2418 -5.0585
O Os Sr
6 2 2
Cartesian
-1.1411 7.8233 -1.0645 O
1.7307 6.8020 -1.0645 O
-0.5896 4.8256 -1.0645 O
0.5896 8.1416 -3.9940 O
-1.7307 6.1653 -3.9940 O
1.1411 5.1440 -3.9940 O
0.0000 6.4836 -0.0554 Os
0.0000 6.4836 -5.0032 Os
0.0000 9.7254 -2.0123 Sr
0.0000 3.2418 -3.0462 Sr

=====

(2)
Sr2Os2O7 GGA-PBE optimized geometry; space group = Imma (74); final energy = -7.26 eV/atom
1.0
-3.6706 5.1475 3.8159
3.6706 -5.1475 3.8159
3.6706 5.1475 -3.8159
O Os Sr
14 4 4
Cartesian
-2.2315 3.9388 4.3659 O
0.0000 0.9625 1.6920 O
2.2315 -1.2087 3.2660 O
0.0000 2.5738 5.0350 O
1.4391 1.2087 -0.5500 O
0.0000 4.1850 1.6920 O
2.2315 1.2087 4.3659 O
1.4391 3.9388 -0.5500 O
3.6706 0.9625 2.1239 O
2.2315 3.9388 4.3659 O
3.6706 2.5738 -1.2190 O
1.4391 6.3563 0.5500 O
3.6706 4.1850 2.1239 O
5.9020 1.2087 -0.5500 O
0.0000 0.0000 0.0000 Os
1.8353 -2.5738 1.9080 Os
1.8353 2.5738 -1.9080 Os
0.0000 5.1475 0.0000 Os
-1.8353 2.5738 1.9080 Sr
0.0000 0.0000 3.8159 Sr
3.6706 0.0000 0.0000 Sr
1.8353 2.5738 1.9080 Sr

=====

(3)
Sr2Os2O5 GGA-PBE optimized geometry; space group = P4/mmm (123); offset from the most stable computed form = 0.7163 eV/atom
1.0
10.4216 0.0000 0.0000
0.0000 3.4615 0.0000
0.0000 0.0000 3.4615
O Os Sr
5 2 2
Cartesian
1.1247 1.7307 0.0000 O
9.2969 1.7307 0.0000 O
1.1247 0.0000 1.7307 O
9.2969 0.0000 1.7307 O
5.2108 1.7307 1.7307 O
0.0000 0.0000 0.0000 Os
5.2108 0.0000 0.0000 Os
2.7486 1.7307 1.7307 Sr
7.6730 1.7307 1.7307 Sr

=====

(4)
Sr2Os2O5 GGA-PBE optimized geometry; space group = P4/mmm (123); offset from the most stable computed form = 0.0000 eV/atom
1.0
7.0106 0.0000 0.0000
0.0000 4.0015 0.0000
0.0000 0.0000 4.0015
O Os Sr
5 2 2
Cartesian
1.5529 2.0008 0.0000 O
5.4577 2.0008 0.0000 O
1.5529 0.0000 2.0008 O
5.4577 0.0000 2.0008 O
3.5053 2.0008 2.0008 O
1.3187 2.0008 2.0008 Os
5.6919 2.0008 2.0008 Os
0.0000 0.0000 0.0000 Sr
3.5053 0.0000 0.0000 Sr

=====

(5)
SrOsO3 GGA-PBE optimized geometry; space group = Pnma (62); final energy = -7.24 eV/atom
1.0
5.5978 0.0000 0.0000
0.0000 5.5877 0.0000
0.0000 0.0000 7.8966
O Os Sr
12 4 4
Cartesian
3.9909 1.6046 0.2670 O
4.4058 4.3984 0.2670 O
0.3732 2.7671 1.9741 O
2.4257 5.5610 1.9741 O
3.9909 1.6046 3.6812 O
4.4058 4.3984 3.6812 O
1.1920 1.1892 4.2153 O
1.6069 3.9831 4.2153 O
3.1721 0.0267 5.9224 O
5.2246 2.8205 5.9224 O
1.1920 1.1892 7.6295 O
1.6069 3.9831 7.6295 O
2.7989 0.0000 0.0000 Os
0.0000 2.7938 0.0000 Os
2.7989 0.0000 3.9483 Os
0.0000 2.7938 3.9483 Os
5.5700 0.1783 1.9741 Sr
2.8267 2.9721 1.9741 Sr
2.7711 2.6156 5.9224 Sr
0.0278 5.4094 5.9224 Sr

=====

(6)
SrZn3Os4O12 GGA-PBE optimized geometry; space group = Im-3 (204); final energy = -6.60 eV/atom
1.0
4.1186 4.4803 2.5176
-5.8865 2.7661 -1.0357
-0.6419 -5.0111 4.2251
O Os Sr Zn
12 4 1 3
Cartesian
1.4743 3.8881 2.2591 O
-1.7421 1.8141 1.0411 O
-2.4237 4.6078 1.6124 O
-4.4936 1.2722 0.7638 O
0.7435 1.1678 2.3437 O
-1.3672 -0.7872 2.2182 O
-1.0426 3.0226 3.4888 O
2.0838 0.9632 4.9433 O
-3.1533 1.0676 3.3633 O
0.0139 -2.3724 4.0946 O
-0.6677 0.4213 4.6660 O
-3.8841 -1.6527 3.4479 O
2.0593 2.2402 1.2588 Os
-2.9432 1.3831 -0.5178 Os
-0.3210 -2.5055 2.1126 Os
-1.2049 1.1177 2.8535 Os
0.0000 0.0000 0.0000 Sr
-0.8839 3.6232 0.7410 Zn
1.7383 -0.2654 3.3713 Zn
-3.2642 -1.1225 1.5947 Zn

=====

(7)
Ta2OsO4 GGA-PBE optimized geometry; space group = Fd-3m (227); final energy = -8.84 eV/atom
1.0
4.4191 -4.4198 0.0000
-4.4191 0.0000 -4.4198
4.4191 4.4198 0.0000
O Os Ta
8 2 4
Cartesian
3.4270 -0.9915 -0.9915 O
-0.9922 0.9915 -3.4283 O
0.9922 -0.9915 -3.4283 O
1.2174 1.2184 -1.2184 O
5.4113 0.9915 -0.9915 O
1.2174 3.2015 -3.2015 O
3.2017 3.2015 -1.2184 O
3.2017 1.2184 -3.2015 O
0.0000 0.0000 0.0000 Os
2.2096 -2.2099 -2.2099 Os
-1.1048 -1.1050 -3.3149 Ta
5.5239 -1.1050 -1.1050 Ta
3.3143 1.1050 -1.1050 Ta
1.1048 1.1050 -3.3149 Ta

=====

(8)
Tb3OsO7 GGA-PBE optimized geometry; space group = Cmcm (63); final energy = -8.19 eV/atom
1.0
-3.7287 4.8443 -1.9128
0.3592 0.7372 -6.3527
-5.6374 -4.6794 -0.8618
O Os Tb
14 2 6
Cartesian
-0.6907 1.0994 -3.9598 O
-1.5554 2.5317 -6.0808 O
-1.7578 -0.5281 -1.4209 O
-3.4763 2.0049 -3.9331 O
-4.2322 3.5707 -7.4908 O
-3.0615 -0.8686 -4.3222 O
-3.9262 0.5637 -6.4433 O
-5.0807 0.3384 -2.6841 O
-5.9454 1.7707 -4.8051 O
-4.7747 -2.6687 -1.6365 O
-5.5306 -1.1029 -5.1943 O
-7.2491 1.4302 -7.7064 O
-7.4516 -1.6296 -3.0465 O
-8.3162 -0.1973 -5.1676 O
-1.6848 2.7908 -4.1328 Os
-4.5035 0.4510 -4.5637 Os
0.0000 0.0000 0.0000 Tb
-3.1647 1.1978 -1.5893 Tb
-4.6804 3.7086 -5.3075 Tb
-2.8187 -2.3397 -0.4309 Tb
-4.3265 -2.8065 -3.8198 Tb
-5.8422 -0.2957 -7.5380 Tb

=====

(9)
Tc2OsO4 GGA-PBE optimized geometry; space group = Fd-3m (227); final energy = -7.72 eV/atom
1.0
4.3328 -4.3344 0.0000
-4.3328 0.0000 -4.3344
4.3328 4.3344 0.0000
O Os Tc
8 2 4
Cartesian
-1.0184 1.0182 -3.3162 O
3.3144 -1.0182 -1.0182 O
1.0184 -1.0182 -3.3162 O
1.1480 1.1490 -1.1490 O
5.3511 1.0182 -1.0182 O
1.1480 3.1854 -3.1854 O
3.1848 3.1854 -1.1490 O
3.1848 1.1490 -3.1854 O
0.0000 0.0000 0.0000 Os
2.1664 -2.1672 -2.1672 Os
-1.0832 -1.0836 -3.2508 Tc
1.0832 1.0836 -3.2508 Tc
3.2496 1.0836 -1.0836 Tc
5.4160 -1.0836 -1.0836 Tc

=====

(10)
Tc2Os2O5 GGA-PBE optimized geometry; space group = P4/mmm (123); offset from the most stable computed form = 0.0000 eV/atom
1.0
8.3180 0.0000 0.0000
0.0000 3.3211 0.0000
0.0000 0.0000 3.3211
O Os Tc
5 2 2
Cartesian
2.5735 1.6606 0.0000 O
5.7445 1.6606 0.0000 O
2.5735 0.0000 1.6606 O
5.7445 0.0000 1.6606 O
4.1590 1.6606 1.6606 O
1.3537 1.6606 1.6606 Os
6.9643 1.6606 1.6606 Os
0.0000 0.0000 0.0000 Tc
4.1590 0.0000 0.0000 Tc

=====

(11)
Tc2Os2O5 GGA-PBE optimized geometry; space group = P4/mmm (123); offset from the most stable computed form = 0.0586 eV/atom
1.0
8.5356 0.0000 0.0000
0.0000 3.2754 0.0000
0.0000 0.0000 3.2754
O Os Tc
5 2 2
Cartesian
2.6489 1.6377 0.0000 O
5.8867 1.6377 0.0000 O
2.6489 0.0000 1.6377 O
5.8867 0.0000 1.6377 O
4.2678 1.6377 1.6377 O
0.0000 0.0000 0.0000 Os
4.2678 0.0000 0.0000 Os
1.4448 1.6377 1.6377 Tc
7.0908 1.6377 1.6377 Tc

=====

(12)
Te2OsO4 GGA-PBE optimized geometry; space group = I4_1/amd (141); final energy = -5.63 eV/atom
1.0
-4.4364 5.5931 0.2306
7.0429 1.0528 -0.5540
-3.6526 -2.6782 -5.5230
O Os Te
8 2 4
Cartesian
-0.1329 -0.0337 -1.7639 O
0.7847 3.4282 -2.1779 O
-2.0642 3.0031 -1.9548 O
3.4260 0.0969 -2.3162 O
-2.3074 -1.6296 -5.0530 O
-0.7546 2.3294 -5.2457 O
1.8867 -1.0019 -5.3840 O
-4.2386 1.4072 -5.2440 O
0.0000 0.0000 0.0000 Os
-0.7190 4.0517 -1.4848 Os
3.1620 2.5522 -1.0194 Te
-2.1858 0.6868 -3.5039 Te
1.3357 1.2132 -3.7809 Te
-4.4040 3.4833 -3.3886 Te